1.
# YRu5, optimized geometry, DFT PBE-GGA
data_YRu5
_chemical_formula_sum 'Y1 Ru5'
_space_group_name_H-M_alt 'P 1'
_space_group_IT_number 1
_cell_length_a 4.372
_cell_length_b 7.768
_cell_length_c 7.768
_cell_angle_alpha 21.11
_cell_angle_beta 90.00
_cell_angle_gamma 90.00
loop_
_space_group_symop_operation_xyz
'x,y,z'
loop_
_atom_site_label
_atom_site_type_symbol
_atom_site_fract_x
_atom_site_fract_y
_atom_site_fract_z
Y1 Y 0.000 0.000 0.000
Ru1 Ru 0.000 0.321 0.321
Ru2 Ru 0.000 0.676 0.676
Ru3 Ru 0.500 0.125 0.125
Ru4 Ru 0.500 0.426 0.426
Ru5 Ru 0.500 0.778 0.778
# Symmetry   Amm2, No. 38
# D(E_F)   6.768 states/eV per cell

2.
# BaPm12Ge6, optimized geometry, DFT PBE-GGA
data_BaPm12Ge6
_chemical_formula_sum 'Ba1 Pm12 Ge6'
_space_group_name_H-M_alt 'P 1'
_space_group_IT_number 1
_cell_length_a 8.790
_cell_length_b 8.790
_cell_length_c 8.790
_cell_angle_alpha 103.15
_cell_angle_beta 103.15
_cell_angle_gamma 103.15
loop_
_space_group_symop_operation_xyz
'x,y,z'
loop_
_atom_site_label
_atom_site_type_symbol
_atom_site_fract_x
_atom_site_fract_y
_atom_site_fract_z
Ba1 Ba 0.000 0.000 0.000
Pm1 Pm 0.130 0.500 0.870
Pm2 Pm 0.130 0.870 0.500
Pm3 Pm 0.182 0.456 0.456
Pm4 Pm 0.456 0.182 0.456
Pm5 Pm 0.456 0.456 0.182
Pm6 Pm 0.500 0.130 0.870
Pm7 Pm 0.500 0.870 0.130
Pm8 Pm 0.544 0.544 0.818
Pm9 Pm 0.544 0.818 0.544
Pm10 Pm 0.818 0.544 0.544
Pm11 Pm 0.870 0.130 0.500
Pm12 Pm 0.870 0.500 0.130
Ge1 Ge 0.240 0.240 0.682
Ge2 Ge 0.240 0.682 0.240
Ge3 Ge 0.318 0.760 0.760
Ge4 Ge 0.682 0.240 0.240
Ge5 Ge 0.760 0.318 0.760
Ge6 Ge 0.760 0.760 0.318
# Symmetry   R-3m, No. 166
# D(E_F)   19.580 states/eV per cell

Here are the calculated total magnetization numbers, same order: 0.00, 0.00 (μB per formula unit).
Here are the calculated E numbers, same order: -8.61, -5.06 (eV per atom).
Here are the calculated energy relative to the elements numbers, same order: 19, -48 (kJ/mol of atoms).